Entry 1:
Crystalline V2FeCl8 at its relaxed geometry, computed with PBE.

a = 19.103 Å, b = 3.271 Å, c = 9.062 Å
α = 90.00°, β = 92.72°, γ = 90.00°
Space group C2/m (No. 12)
Asymmetric unit:
V: 0.162 0.000 0.221
Fe: 0.000 0.500 0.500
Cl: 0.032 0.000 0.677
Cl: 0.102 0.500 0.070
Cl: 0.132 0.500 0.417
Cl: 0.245 0.000 0.786

Calculated values
Spin magnetization in μB per cell: 17.26
Energy in eV/f.u.: -52.05
Energy relative to the elements, uncorrected in meV/atom: -962

Entry 2:
Crystalline Ce7PbCl12 at its relaxed geometry, computed with PBE.

a = 15.3803 Å, b = 15.3803 Å, c = 9.2214 Å
α = 90.00°, β = 90.00°, γ = 120.00°
Space group R-3 (No. 148, hexagonal axes)
Asymmetric unit:
Ce: 0.0000 0.0000 0.0000
Ce: 0.0440 0.1773 0.2974
Pb: 0.0000 0.0000 0.5000
Cl: 0.0414 0.5881 0.1625
Cl: 0.0465 0.1857 0.8526

Calculated values
Spin magnetization in μB per cell: 31.58
Energy in eV/f.u.: -102.87
Energy relative to the elements, uncorrected in meV/atom: -1773